w) A plane-wave DFT calculation with PBE was carried out for crystalline Be2NbCo at its relaxed geometry.

Computed properties:
symmetry: P4/mmm, No. 123
total magnetization: 0.0 μB per formula unit
D(E_F): 2.563 states/eV/cell

a b c (Å): 2.730 2.730 5.937
angles (deg): 90.00 90.00 90.00
Fractional coordinates of all 4 atoms:
Be: 0.000 0.000 0.810
Be: 0.000 0.000 0.190
Nb: 0.500 0.500 0.500
Co: 0.500 0.500 0.000

x) A plane-wave DFT calculation with PBE was carried out for crystalline Be2NbCo at its relaxed geometry.

Computed properties:
symmetry: Fm-3m, No. 225
total magnetization: 0.0 μB per formula unit
D(E_F): 3.962 states/eV/cell

a b c (Å): 3.965 3.965 3.965
angles (deg): 60.00 60.00 60.00
Fractional coordinates of all 4 atoms:
Be: 0.250 0.250 0.250
Be: 0.750 0.750 0.750
Nb: 0.500 0.500 0.500
Co: 0.000 0.000 0.000

w) takes first place; second place is 11.9 kJ/mol of atoms up.

w) A plane-wave DFT calculation with PBE was carried out for crystalline Be2CoNi at its relaxed geometry.

Computed properties:
symmetry: I-4m2, No. 119
total magnetization: 1.1 μB per formula unit
D(E_F): 3.779 states/eV/cell

a b c (Å): 4.309 4.309 4.309
angles (deg): 136.92 136.92 62.56
Each line ends with the local moment (μB).
Fractional coordinates of all 4 atoms:
Ni: 0.750 0.250 0.500  0.22
Co: 0.500 0.500 0.000  0.89
Be: 0.000 0.000 0.000  -0.02
Be: 0.250 0.750 0.500  -0.01

x) A plane-wave DFT calculation with PBE was carried out for crystalline Be2CoNi at its relaxed geometry.

Computed properties:
symmetry: R-3m, No. 166
total magnetization: 0.6 μB per formula unit
D(E_F): 2.933 states/eV/cell

a b c (Å): 7.323 7.323 7.323
angles (deg): 19.22 19.22 19.22
Each line ends with the local moment (μB).
Fractional coordinates of all 4 atoms:
Ni: 0.750 0.750 0.750  -0.02
Co: 0.250 0.250 0.250  0.64
Be: 0.000 0.000 0.000  -0.01
Be: 0.500 0.500 0.500  -0.01

w) takes first place; second place is 0.9 kJ/mol of atoms up.

w) A plane-wave DFT calculation with PBE was carried out for crystalline Be2CoNi at its relaxed geometry.

Computed properties:
symmetry: Cm, No. 8
total magnetization: 1.0 μB per formula unit
D(E_F): 2.124 states/eV/cell

a b c (Å): 4.277 4.277 3.863
angles (deg): 71.27 71.27 33.13
Each line ends with the local moment (μB).
Fractional coordinates of all 4 atoms:
Ni: 0.258 0.258 0.182  0.21
Co: 0.493 0.493 0.567  0.87
Be: 0.005 0.005 0.058  -0.02
Be: 0.743 0.743 0.692  -0.01

x) A plane-wave DFT calculation with PBE was carried out for crystalline Be2CoNi at its relaxed geometry.

Computed properties:
symmetry: F-43m, No. 216
total magnetization: 0.1 μB per formula unit
D(E_F): 5.345 states/eV/cell

a b c (Å): 3.748 3.748 3.748
angles (deg): 60.00 60.00 60.00
Each line ends with the local moment (μB).
Fractional coordinates of all 4 atoms:
Ni: 0.750 0.750 0.750  -0.04
Co: 0.500 0.500 0.500  -0.06
Be: 0.000 0.000 0.000  0.00
Be: 0.250 0.250 0.250  0.00

w) takes first place; second place is 12.6 kJ/mol of atoms up.

w) A plane-wave DFT calculation with PBE was carried out for crystalline Be2CoNi at its relaxed geometry.

Computed properties:
symmetry: P4/mmm, No. 123
total magnetization: 0.0 μB per formula unit
D(E_F): 2.217 states/eV/cell

a b c (Å): 2.605 2.605 5.180
angles (deg): 90.01 90.00 90.00
Fractional coordinates of all 4 atoms:
Be: 0.000 0.000 0.740
Be: 0.000 0.000 0.260
Co: 0.500 0.500 0.500
Ni: 0.500 0.500 0.000

x) A plane-wave DFT calculation with PBE was carried out for crystalline Be2CoNi at its relaxed geometry.

Computed properties:
symmetry: C2/m, No. 12
total magnetization: 1.0 μB per formula unit
D(E_F): 2.771 states/eV/cell

a b c (Å): 3.844 3.844 4.300
angles (deg): 80.48 80.48 36.71
Each line ends with the local moment (μB).
Fractional coordinates of all 4 atoms:
Ni: 0.250 0.250 0.250  0.24
Co: 0.750 0.750 0.750  0.85
Be: 0.000 0.000 0.997  -0.01
Be: 0.500 0.500 0.503  -0.01

w) takes first place; second place is 24.8 kJ/mol of atoms up.

w) A plane-wave DFT calculation with PBE was carried out for crystalline Be2CoNi at its relaxed geometry.

Computed properties:
symmetry: P4/mmm, No. 123
total magnetization: 0.0 μB per formula unit
D(E_F): 2.537 states/eV/cell

a b c (Å): 3.661 5.803 2.618
angles (deg): 63.13 90.02 129.13
Fractional coordinates of all 4 atoms:
Ni: 0.500 0.000 0.500
Co: 0.500 0.500 0.000
Be: 0.000 0.000 0.000
Be: 0.000 0.500 0.500

x) A plane-wave DFT calculation with PBE was carried out for crystalline Be2CoNi at its relaxed geometry.

Computed properties:
symmetry: I-42d, No. 122
total magnetization: 0.7 μB per formula unit
D(E_F): 7.965 states/eV/cell

a b c (Å): 5.690 5.690 4.683
angles (deg): 52.59 52.59 90.00
Each line ends with the local moment (μB).
Fractional coordinates of all 8 atoms:
Ni: 0.000 0.000 0.000  0.10
Ni: 0.750 0.250 0.500  0.10
Co: 0.500 0.500 0.000  0.62
Co: 0.250 0.750 0.500  0.62
Be: 0.626 0.125 0.250  -0.01
Be: 0.124 0.625 0.250  -0.01
Be: 0.375 0.374 0.750  -0.01
Be: 0.875 0.876 0.750  -0.01

w) takes first place; second place is 54.4 kJ/mol of atoms up.

w) A plane-wave DFT calculation with PBE was carried out for crystalline Be2CoNi at its relaxed geometry.

Computed properties:
symmetry: R3m, No. 160
total magnetization: 1.2 μB per formula unit
D(E_F): 2.655 states/eV/cell

a b c (Å): 7.751 7.751 7.751
angles (deg): 17.90 17.90 17.90
Each line ends with the local moment (μB).
Fractional coordinates of all 4 atoms:
Ni: 0.745 0.745 0.745  0.10
Co: 0.504 0.504 0.504  1.18
Be: 0.001 0.001 0.001  -0.02
Be: 0.250 0.250 0.250  -0.03

x) A plane-wave DFT calculation with PBE was carried out for crystalline Be2CoNi at its relaxed geometry.

Computed properties:
symmetry: P4mm, No. 99
total magnetization: 0.2 μB per formula unit
D(E_F): 4.090 states/eV/cell

a b c (Å): 2.621 2.621 5.249
angles (deg): 90.00 90.00 90.00
Each line ends with the local moment (μB).
Fractional coordinates of all 4 atoms:
Ni: 0.500 0.500 0.778  0.09
Co: 0.000 0.000 0.467  0.18
Be: 0.000 0.000 0.014  0.00
Be: 0.500 0.500 0.242  -0.01

x) takes first place; second place is 14.9 kJ/mol of atoms up.

w) A plane-wave DFT calculation with PBE was carried out for crystalline Be5Co2Ni at its relaxed geometry.

Computed properties:
symmetry: Immm, No. 71
total magnetization: 0.7 μB per formula unit
D(E_F): 4.770 states/eV/cell

a b c (Å): 2.395 4.478 7.153
angles (deg): 108.24 99.64 90.00
Each line ends with the local moment (μB).
Fractional coordinates of all 8 atoms:
Be: 0.000 0.500 0.000  0.00
Be: 0.621 0.370 0.241  -0.01
Be: 0.379 0.630 0.759  -0.01
Be: 0.621 0.872 0.241  -0.01
Be: 0.379 0.128 0.759  -0.01
Co: 0.237 0.737 0.475  0.41
Co: 0.763 0.263 0.525  0.41
Ni: 0.000 0.000 0.000  -0.02

x) A plane-wave DFT calculation with PBE was carried out for crystalline Be5Co2Ni at its relaxed geometry.

Computed properties:
symmetry: I4/mmm, No. 139
total magnetization: 0.0 μB per formula unit
D(E_F): 1.901 states/eV/cell

a b c (Å): 3.702 3.702 5.670
angles (deg): 109.05 109.05 90.00
Fractional coordinates of all 8 atoms:
Be: 0.500 0.500 0.000
Be: 0.869 0.369 0.739
Be: 0.369 0.869 0.739
Be: 0.131 0.631 0.261
Be: 0.631 0.131 0.261
Co: 0.746 0.746 0.491
Co: 0.254 0.254 0.509
Ni: 0.000 0.000 0.000

x) takes first place; second place is 19.0 kJ/mol of atoms up.

w) A plane-wave DFT calculation with PBE was carried out for crystalline BeCo2Ni2 at its relaxed geometry.

Computed properties:
symmetry: P4/mbm, No. 127
total magnetization: 4.6 μB per formula unit
D(E_F): 11.035 states/eV/cell

a b c (Å): 6.716 6.716 2.527
angles (deg): 90.00 90.00 90.00
Each line ends with the local moment (μB).
Fractional coordinates of all 10 atoms:
Ni: 0.375 0.875 0.000  0.71
Ni: 0.875 0.625 0.000  0.73
Ni: 0.625 0.125 0.000  0.71
Ni: 0.125 0.375 0.000  0.73
Co: 0.174 0.674 0.500  1.66
Co: 0.674 0.826 0.500  1.64
Co: 0.826 0.326 0.500  1.66
Co: 0.326 0.174 0.500  1.64
Be: 0.000 0.000 0.000  -0.03
Be: 0.500 0.500 0.000  -0.03

x) A plane-wave DFT calculation with PBE was carried out for crystalline BeCo2Ni2 at its relaxed geometry.

Computed properties:
symmetry: P4/mbm, No. 127
total magnetization: 4.5 μB per formula unit
D(E_F): 10.262 states/eV/cell

a b c (Å): 6.744 6.744 2.512
angles (deg): 90.00 90.00 90.00
Each line ends with the local moment (μB).
Fractional coordinates of all 10 atoms:
Ni: 0.174 0.674 0.500  0.73
Ni: 0.674 0.826 0.500  0.70
Ni: 0.826 0.326 0.500  0.73
Ni: 0.326 0.174 0.500  0.70
Co: 0.377 0.877 0.000  1.58
Co: 0.877 0.623 0.000  1.59
Co: 0.623 0.123 0.000  1.58
Co: 0.123 0.377 0.000  1.59
Be: 0.000 0.000 0.000  0.00
Be: 0.500 0.500 0.000  0.00

w) takes first place; second place is 0.8 kJ/mol of atoms up.

w) A plane-wave DFT calculation with PBE was carried out for crystalline Be6CoNi at its relaxed geometry.

Computed properties:
symmetry: Amm2, No. 38
total magnetization: 0.0 μB per formula unit
D(E_F): 2.151 states/eV/cell

a b c (Å): 3.653 4.538 4.538
angles (deg): 117.11 90.00 90.00
Fractional coordinates of all 8 atoms:
Be: 0.000 0.081 0.400
Be: 0.000 0.600 0.919
Be: 0.000 0.579 0.421
Be: 0.500 0.425 0.103
Be: 0.500 0.897 0.575
Be: 0.500 0.917 0.083
Co: 0.500 0.402 0.598
Ni: 0.000 0.098 0.902

x) A plane-wave DFT calculation with PBE was carried out for crystalline Be6CoNi at its relaxed geometry.

Computed properties:
symmetry: Pm-3, No. 200
total magnetization: 0.8 μB per formula unit
D(E_F): 5.034 states/eV/cell

a b c (Å): 4.105 4.105 4.105
angles (deg): 90.00 90.00 90.00
Each line ends with the local moment (μB).
Fractional coordinates of all 8 atoms:
Be: 0.500 0.748 0.000  0.02
Be: 0.748 0.000 0.500  0.02
Be: 0.000 0.500 0.252  0.02
Be: 0.252 0.000 0.500  0.02
Be: 0.500 0.252 0.000  0.02
Be: 0.000 0.500 0.748  0.02
Co: 0.500 0.500 0.500  0.54
Ni: 0.000 0.000 0.000  0.07

w) takes first place; second place is 18.1 kJ/mol of atoms up.

w) A plane-wave DFT calculation with PBE was carried out for crystalline BeCoNi at its relaxed geometry.

Computed properties:
symmetry: P3m1, No. 156
total magnetization: 1.5 μB per formula unit
D(E_F): 3.653 states/eV/cell

a b c (Å): 3.767 3.767 2.402
angles (deg): 90.00 90.00 120.00
Each line ends with the local moment (μB).
Fractional coordinates of all 3 atoms:
Ni: 0.667 0.333 0.742  0.38
Co: 0.333 0.667 0.299  1.28
Be: 0.000 0.000 0.959  -0.04

x) A plane-wave DFT calculation with PBE was carried out for crystalline BeCoNi at its relaxed geometry.

Computed properties:
symmetry: F-43m, No. 216
total magnetization: 1.8 μB per formula unit
D(E_F): 3.258 states/eV/cell

a b c (Å): 3.686 3.686 3.686
angles (deg): 60.00 60.00 60.00
Each line ends with the local moment (μB).
Fractional coordinates of all 3 atoms:
Ni: 0.000 0.000 0.000  0.73
Co: 0.750 0.750 0.750  1.19
Be: 0.500 0.500 0.500  -0.04

w) takes first place; second place is 48.1 kJ/mol of atoms up.

w) A plane-wave DFT calculation with PBE was carried out for crystalline BeCoNi at its relaxed geometry.

Computed properties:
symmetry: F-43m, No. 216
total magnetization: 1.2 μB per formula unit
D(E_F): 4.971 states/eV/cell

a b c (Å): 3.561 3.561 3.561
angles (deg): 60.00 60.00 60.00
Each line ends with the local moment (μB).
Fractional coordinates of all 3 atoms:
Ni: 0.500 0.500 0.500  0.33
Co: 0.000 0.000 0.000  1.01
Be: 0.750 0.750 0.750  -0.07

x) A plane-wave DFT calculation with PBE was carried out for crystalline BeCoNi at its relaxed geometry.

Computed properties:
symmetry: Pnma, No. 62
total magnetization: 1.5 μB per formula unit
D(E_F): 12.316 states/eV/cell

a b c (Å): 3.964 6.266 4.909
angles (deg): 90.00 90.00 90.00
Each line ends with the local moment (μB).
Fractional coordinates of all 12 atoms:
Co: 0.750 0.056 0.113  1.29
Co: 0.250 0.556 0.387  1.29
Co: 0.250 0.944 0.887  1.29
Co: 0.750 0.444 0.613  1.29
Be: 0.750 0.752 0.350  -0.04
Be: 0.250 0.252 0.150  -0.04
Be: 0.250 0.248 0.650  -0.04
Be: 0.750 0.748 0.850  -0.04
Ni: 0.750 0.438 0.116  0.34
Ni: 0.250 0.938 0.384  0.34
Ni: 0.250 0.562 0.884  0.34
Ni: 0.750 0.062 0.616  0.34

y) A plane-wave DFT calculation with PBE was carried out for crystalline BeCoNi at its relaxed geometry.

Computed properties:
symmetry: I4mm, No. 107
total magnetization: 1.6 μB per formula unit
D(E_F): 3.943 states/eV/cell

a b c (Å): 4.781 4.781 2.545
angles (deg): 74.56 74.56 30.87
Each line ends with the local moment (μB).
Fractional coordinates of all 3 atoms:
Ni: 0.653 0.653 0.347  0.38
Co: 0.346 0.346 0.654  1.27
Be: 0.001 0.001 0.999  -0.04

y) takes first place; second place is 17.9 kJ/mol of atoms up.